(1)
## LiCaGa2Ag5 (PBE-GGA)

Data for a relaxed LiCaGa2Ag5 crystal.

a b c (Å): 4.8111 4.8111 8.1155
angles (deg): 90.00 90.00 90.00
Closest atoms and distances in Å follow each position.
Space group P4/mmm (No. 123)
One atom of each set of equivalent atoms:
Li  0.0000  0.0000  0.0000  8 Ag 3.23, 8 Ga 3.62
Ca  0.0000  0.0000  0.5000  12 Ag 3.07-3.40
Ga  0.5000  0.5000  0.1512  1 Ga 2.45, 4 Ag 2.58
Ag  0.0000  0.5000  0.2658  2 Ga 2.58
Ag  0.5000  0.5000  0.5000  2 Ga 2.83, 8 Ag 3.07

Summary:
Final energy: -2.774 eV/atom

=====

(2)
## CaMgGa2Ag (PBE-GGA)

Data for a relaxed CaMgGa2Ag crystal.

a b c (Å): 4.2282 4.2282 12.0245
angles (deg): 90.00 90.00 90.00
Closest atoms and distances in Å follow each position.
Space group I-4m2 (No. 119)
One atom of each set of equivalent atoms:
Ca  0.0000  0.0000  0.0000  8 Ga 3.24
Mg  0.0000  0.5000  0.2500  4 Ga 2.75, 4 Ag 2.99
Ga  0.0000  0.0000  0.3958  1 Ga 2.51, 2 Mg 2.75, 2 Ag 2.75
Ag  0.0000  0.5000  0.7500  4 Ga 2.75, 4 Mg 2.99

Summary:
Final energy: -2.823 eV/atom

=====

(3)
## Ca2MgGa3Ag12 (PBE-GGA)

Data for a relaxed Ca2MgGa3Ag12 crystal.

a b c (Å): 9.6772 9.6772 13.6082
angles (deg): 90.00 90.00 120.00
Closest atoms and distances in Å follow each position.
Space group R-3m (No. 166, hexagonal axes)
One atom of each set of equivalent atoms:
Ca  0.0000  0.0000  0.2153  9 Ag 3.02-3.31, 3 Ga 3.22
Mg  0.0000  0.0000  0.5000  6 Ag 2.78
Ga  0.0000  0.5000  0.0000  2 Ag 2.65
Ag  0.0052  0.5026  0.1950  1 Ga 2.65, 5 Ag 2.76-2.90, 1 Mg 2.78
Ag  0.0254  0.5127  0.6033  4 Ag 2.76-2.90, 2 Ga 3.03

Summary:
Final energy: -2.748 eV/atom

=====

(4)
## Ca2MgGa4Ag3 (PBE-GGA)

Data for a relaxed Ca2MgGa4Ag3 crystal.

a b c (Å): 4.2389 4.2389 11.9387
angles (deg): 90.00 90.00 90.00
Closest atoms and distances in Å follow each position.
Space group P-4m2 (No. 115)
One atom of each set of equivalent atoms:
Ca  0.0000  0.5000  0.2451  4 Ag 3.26, 8 Ga 3.26-3.61
Mg  0.0000  0.0000  0.5000  4 Ga 2.75, 4 Ag 3.00
Ga  0.0000  0.0000  0.0000  4 Ag 2.69, 4 Ga 3.00
Ga  0.0000  0.5000  0.6468  3 Ag 2.56-2.75, 2 Mg 2.75
Ga  0.5000  0.5000  0.0000  4 Ag 2.69, 4 Ga 3.00
Ag  0.0000  0.5000  0.8614  5 Ga 2.56-2.69
Ag  0.5000  0.5000  0.5000  4 Ga 2.75, 4 Mg 3.00

Summary:
Final energy: -2.926 eV/atom

=====

(5)
## CaMgGa2Ag5 (PBE-GGA)

Data for a relaxed CaMgGa2Ag5 crystal.

a b c (Å): 4.8749 4.8749 7.8535
angles (deg): 90.00 90.00 90.00
Closest atoms and distances in Å follow each position.
Space group P4/mmm (No. 123)
One atom of each set of equivalent atoms:
Ca  0.0000  0.0000  0.0000  8 Ag 3.07
Mg  0.0000  0.0000  0.5000  8 Ag 3.19
Ga  0.5000  0.5000  0.3462  1 Ga 2.42, 4 Ag 2.58
Ag  0.0000  0.5000  0.2371  2 Ga 2.58
Ag  0.5000  0.5000  0.0000  2 Ga 2.72

Summary:
Final energy: -2.722 eV/atom

=====

(6)
## CaMg2Ga2Ag2 (PBE-GGA)

Data for a relaxed CaMg2Ga2Ag2 crystal.

a b c (Å): 4.5767 4.5767 24.7588
angles (deg): 90.00 90.00 120.00
Closest atoms and distances in Å follow each position.
Space group R-3m (No. 166, hexagonal axes)
One atom of each set of equivalent atoms:
Ca  0.0000  0.0000  0.0000  6 Ga 3.26, 2 Mg 3.30, 6 Ag 3.36
Mg  0.0000  0.0000  0.1333  4 Ag 2.87-2.91, 3 Ga 2.98, 3 Mg 3.12
Ga  0.0000  0.0000  0.4107  3 Ag 2.65
Ag  0.0000  0.0000  0.2494  3 Ga 2.65, 4 Mg 2.87-2.91

Summary:
Final energy: -2.679 eV/atom

=====

- What is the formula in the fourth record?
  Ca2MgGa4Ag3